Entry from the Alexandria database: crystalline Cd5Hg3I12 at its relaxed geometry (GGA-PBE).

## Properties
The formation energy (no corrections) is -6.96 eV per formula unit. For the density of states at the Fermi level, the calculation gives 71.18 states/eV/cell. The total energy comes out at -0.1141 Ry per atom.

Cell lengths 16.2645, 16.2645, 16.2645 Å; angles 109.47, 109.47, 109.47 degrees
Last column: nearest neighbours and their distance in Å.
Fractional positions:
Cd 0.0000 0.0000 0.0000  6 I 3.04
Cd 0.0000 0.0000 0.5000  6 I 3.04
Cd 0.0000 0.5000 0.0000  6 I 3.04
Cd 0.0000 0.5000 0.5000  6 I 3.04
Cd 0.1250 0.7500 0.8750  4 I 2.84
Cd 0.1250 0.8750 0.2500  4 I 2.84
Cd 0.2500 0.1250 0.8750  4 I 2.84
Cd 0.2500 0.6250 0.3750  4 I 2.84
Cd 0.3750 0.2500 0.6250  4 I 2.84
Cd 0.3750 0.6250 0.7500  4 I 2.84
Cd 0.5000 0.0000 0.0000  6 I 3.04
Cd 0.5000 0.0000 0.5000  6 I 3.04
Cd 0.5000 0.5000 0.0000  6 I 3.04
Cd 0.5000 0.5000 0.5000  6 I 3.04
Cd 0.6250 0.3750 0.2500  4 I 2.84
Cd 0.6250 0.7500 0.3750  4 I 2.84
Cd 0.7500 0.3750 0.6250  4 I 2.84
Cd 0.7500 0.8750 0.1250  4 I 2.84
Cd 0.8750 0.1250 0.7500  4 I 2.84
Cd 0.8750 0.2500 0.1250  4 I 2.84
Hg 0.1250 0.2500 0.3750  8 I 3.66
Hg 0.1250 0.3750 0.7500  8 I 3.66
Hg 0.2500 0.3750 0.1250  8 I 3.66
Hg 0.2500 0.8750 0.6250  8 I 3.66
Hg 0.3750 0.1250 0.2500  8 I 3.66
Hg 0.3750 0.7500 0.1250  8 I 3.66
Hg 0.6250 0.2500 0.8750  8 I 3.66
Hg 0.6250 0.8750 0.7500  8 I 3.66
Hg 0.7500 0.1250 0.3750  8 I 3.66
Hg 0.7500 0.6250 0.8750  8 I 3.66
Hg 0.8750 0.6250 0.2500  8 I 3.66
Hg 0.8750 0.7500 0.6250  8 I 3.66
I 0.0286 0.2066 0.1175  2 Cd 2.84-3.04
I 0.0286 0.3220 0.9110  2 Cd 2.84-3.04
I 0.0890 0.6175 0.4109  2 Cd 2.84-3.04
I 0.0891 0.7066 0.6780  2 Cd 2.84-3.04
I 0.0891 0.8825 0.4110  2 Cd 2.84-3.04
I 0.0890 0.9714 0.6780  2 Cd 2.84-3.04
I 0.1175 0.0286 0.2066  2 Cd 2.84-3.04
I 0.1175 0.5890 0.9109  2 Cd 2.84-3.04
I 0.1780 0.2066 0.5891  2 Cd 2.84-3.04
I 0.1780 0.4714 0.5890  2 Cd 2.84-3.04
I 0.2066 0.1175 0.0286  2 Cd 2.84-3.04
I 0.2066 0.5891 0.1780  2 Cd 2.84-3.04
I 0.2934 0.3220 0.9109  2 Cd 2.84-3.04
I 0.2934 0.4714 0.3825  2 Cd 2.84-3.04
I 0.3220 0.9110 0.0286  2 Cd 2.84-3.04
I 0.3220 0.9109 0.2934  2 Cd 2.84-3.04
I 0.3825 0.2934 0.4714  2 Cd 2.84-3.04
I 0.3825 0.5891 0.9110  2 Cd 2.84-3.04
I 0.4109 0.0890 0.6175  2 Cd 2.84-3.04
I 0.4110 0.0891 0.8825  2 Cd 2.84-3.04
I 0.4110 0.8220 0.5286  2 Cd 2.84-3.04
I 0.4109 0.8220 0.7934  2 Cd 2.84-3.04
I 0.4714 0.3825 0.2934  2 Cd 2.84-3.04
I 0.4714 0.5890 0.1780  2 Cd 2.84-3.04
I 0.5286 0.4110 0.8220  2 Cd 2.84-3.04
I 0.5286 0.6175 0.7066  2 Cd 2.84-3.04
I 0.5891 0.1780 0.2066  2 Cd 2.84-3.04
I 0.5890 0.1780 0.4714  2 Cd 2.84-3.04
I 0.5890 0.9109 0.1175  2 Cd 2.84-3.04
I 0.5891 0.9110 0.3825  2 Cd 2.84-3.04
I 0.6175 0.4109 0.0890  2 Cd 2.84-3.04
I 0.6175 0.7066 0.5286  2 Cd 2.84-3.04
I 0.6780 0.0891 0.7066  2 Cd 2.84-3.04
I 0.6780 0.0890 0.9714  2 Cd 2.84-3.04
I 0.7066 0.5286 0.6175  2 Cd 2.84-3.04
I 0.7066 0.6780 0.0891  2 Cd 2.84-3.04
I 0.7934 0.4109 0.8220  2 Cd 2.84-3.04
I 0.7934 0.8825 0.9714  2 Cd 2.84-3.04
I 0.8220 0.5286 0.4110  2 Cd 2.84-3.04
I 0.8220 0.7934 0.4109  2 Cd 2.84-3.04
I 0.8825 0.4110 0.0891  2 Cd 2.84-3.04
I 0.8825 0.9714 0.7934  2 Cd 2.84-3.04
I 0.9110 0.0286 0.3220  2 Cd 2.84-3.04
I 0.9109 0.1175 0.5890  2 Cd 2.84-3.04
I 0.9109 0.2934 0.3220  2 Cd 2.84-3.04
I 0.9110 0.3825 0.5891  2 Cd 2.84-3.04
I 0.9714 0.6780 0.0890  2 Cd 2.84-3.04
I 0.9714 0.7934 0.8825  2 Cd 2.84-3.04

---

Entry from the Alexandria database: crystalline CdHg6I2 at its relaxed geometry (GGA-PBE).

## Properties
The formation energy (no corrections) is -1.30 eV per formula unit. For the density of states at the Fermi level, the calculation gives 0.14 states/eV/cell. The total energy comes out at -0.0582 Ry per atom.

Cell lengths 4.2548, 8.3888, 9.8902 Å; angles 98.16, 90.68, 103.72 degrees
Last column: nearest neighbours and their distance in Å.
Fractional positions:
Cd 0.0000 0.0000 0.0000  4 I 2.96-2.99, 2 Hg 2.97
Hg 0.1245 0.2435 0.2552  1 Cd 2.97, 4 Hg 3.27-3.28
Hg 0.2308 0.4514 0.6709  5 Hg 3.27-3.57
Hg 0.3925 0.8088 0.5021  5 Hg 3.13-3.31
Hg 0.6075 0.1912 0.4979  5 Hg 3.13-3.31
Hg 0.7692 0.5486 0.3291  5 Hg 3.27-3.57
Hg 0.8755 0.7565 0.7448  1 Cd 2.97, 4 Hg 3.27-3.28
I 0.4047 0.7987 0.1064  2 Cd 2.96-2.99
I 0.5953 0.2013 0.8936  2 Cd 2.96-2.99

---

Entry from the Alexandria database: crystalline Cd3Hg12I5 at its relaxed geometry (GGA-PBE).

## Properties
The formation energy (no corrections) is -0.75 eV per formula unit. For the density of states at the Fermi level, the calculation gives 31.03 states/eV/cell. The total energy comes out at -0.0546 Ry per atom.

Cell lengths 15.8665, 15.8665, 15.8665 Å; angles 109.47, 109.47, 109.47 degrees
Last column: nearest neighbours and their distance in Å.
Fractional positions:
Cd 0.1250 0.2500 0.3750  4 Hg 2.86
Cd 0.1250 0.3750 0.7500  4 Hg 2.86
Cd 0.2500 0.3750 0.1250  4 Hg 2.86
Cd 0.2500 0.8750 0.6250  4 Hg 2.86
Cd 0.3750 0.1250 0.2500  4 Hg 2.86
Cd 0.3750 0.7500 0.1250  4 Hg 2.86
Cd 0.6250 0.2500 0.8750  4 Hg 2.86
Cd 0.6250 0.8750 0.7500  4 Hg 2.86
Cd 0.7500 0.1250 0.3750  4 Hg 2.86
Cd 0.7500 0.6250 0.8750  4 Hg 2.86
Cd 0.8750 0.6250 0.2500  4 Hg 2.86
Cd 0.8750 0.7500 0.6250  4 Hg 2.86
Hg 0.0540 0.6337 0.3852  1 Cd 2.86, 1 Hg 3.18
Hg 0.0540 0.9203 0.6688  1 Cd 2.86, 1 Hg 3.18
Hg 0.0797 0.2485 0.1337  1 Cd 2.86, 1 Hg 3.18
Hg 0.0797 0.3312 0.9460  1 Cd 2.86, 1 Hg 3.18
Hg 0.1148 0.7485 0.6688  1 Cd 2.86, 1 Hg 3.18
Hg 0.1148 0.8663 0.4460  1 Cd 2.86, 1 Hg 3.18
Hg 0.1337 0.0797 0.2485  1 Cd 2.86, 1 Hg 3.18
Hg 0.1337 0.5540 0.8852  1 Cd 2.86, 1 Hg 3.18
Hg 0.1688 0.2485 0.6148  1 Cd 2.86, 1 Hg 3.18
Hg 0.1688 0.4203 0.5540  1 Cd 2.86, 1 Hg 3.18
Hg 0.2485 0.1337 0.0797  1 Cd 2.86, 1 Hg 3.18
Hg 0.2485 0.6148 0.1688  1 Cd 2.86, 1 Hg 3.18
Hg 0.2515 0.3312 0.8852  1 Cd 2.86, 1 Hg 3.18
Hg 0.2515 0.4203 0.3663  1 Cd 2.86, 1 Hg 3.18
Hg 0.3312 0.8852 0.2515  1 Cd 2.86, 1 Hg 3.18
Hg 0.3312 0.9460 0.0797  1 Cd 2.86, 1 Hg 3.18
Hg 0.3663 0.2515 0.4203  1 Cd 2.86, 1 Hg 3.18
Hg 0.3663 0.6148 0.9460  1 Cd 2.86, 1 Hg 3.18
Hg 0.3852 0.0540 0.6337  1 Cd 2.86, 1 Hg 3.18
Hg 0.3852 0.8312 0.7515  1 Cd 2.86, 1 Hg 3.18
Hg 0.4203 0.3663 0.2515  1 Cd 2.86, 1 Hg 3.18
Hg 0.4203 0.5540 0.1688  1 Cd 2.86, 1 Hg 3.18
Hg 0.4460 0.1148 0.8663  1 Cd 2.86, 1 Hg 3.18
Hg 0.4460 0.8312 0.5797  1 Cd 2.86, 1 Hg 3.18
Hg 0.5540 0.1688 0.4203  1 Cd 2.86, 1 Hg 3.18
Hg 0.5540 0.8852 0.1337  1 Cd 2.86, 1 Hg 3.18
Hg 0.5797 0.4460 0.8312  1 Cd 2.86, 1 Hg 3.18
Hg 0.5797 0.6337 0.7485  1 Cd 2.86, 1 Hg 3.18
Hg 0.6148 0.1688 0.2485  1 Cd 2.86, 1 Hg 3.18
Hg 0.6148 0.9460 0.3663  1 Cd 2.86, 1 Hg 3.18
Hg 0.6337 0.3852 0.0540  1 Cd 2.86, 1 Hg 3.18
Hg 0.6337 0.7485 0.5797  1 Cd 2.86, 1 Hg 3.18
Hg 0.6688 0.0540 0.9203  1 Cd 2.86, 1 Hg 3.18
Hg 0.6688 0.1148 0.7485  1 Cd 2.86, 1 Hg 3.18
Hg 0.7485 0.5797 0.6337  1 Cd 2.86, 1 Hg 3.18
Hg 0.7485 0.6688 0.1148  1 Cd 2.86, 1 Hg 3.18
Hg 0.7515 0.3852 0.8312  1 Cd 2.86, 1 Hg 3.18
Hg 0.7515 0.8663 0.9203  1 Cd 2.86, 1 Hg 3.18
Hg 0.8312 0.5797 0.4460  1 Cd 2.86, 1 Hg 3.18
Hg 0.8312 0.7515 0.3852  1 Cd 2.86, 1 Hg 3.18
Hg 0.8663 0.4460 0.1148  1 Cd 2.86, 1 Hg 3.18
Hg 0.8663 0.9203 0.7515  1 Cd 2.86, 1 Hg 3.18
Hg 0.8852 0.1337 0.5540  1 Cd 2.86, 1 Hg 3.18
Hg 0.8852 0.2515 0.3312  1 Cd 2.86, 1 Hg 3.18
Hg 0.9203 0.6688 0.0540  1 Cd 2.86, 1 Hg 3.18
Hg 0.9203 0.7515 0.8663  1 Cd 2.86, 1 Hg 3.18
Hg 0.9460 0.0797 0.3312  1 Cd 2.86, 1 Hg 3.18
Hg 0.9460 0.3663 0.6148  1 Cd 2.86, 1 Hg 3.18
I 0.0000 0.0000 0.0000  6 Hg 3.31
I 0.0000 0.0000 0.5000  6 Hg 3.31
I 0.0000 0.5000 0.0000  6 Hg 3.31
I 0.0000 0.5000 0.5000  6 Hg 3.31
I 0.1250 0.7500 0.8750  4 Hg 3.21
I 0.1250 0.8750 0.2500  4 Hg 3.21
I 0.2500 0.1250 0.8750  4 Hg 3.21
I 0.2500 0.6250 0.3750  4 Hg 3.21
I 0.3750 0.2500 0.6250  4 Hg 3.21
I 0.3750 0.6250 0.7500  4 Hg 3.21
I 0.5000 0.0000 0.0000  6 Hg 3.31
I 0.5000 0.0000 0.5000  6 Hg 3.31
I 0.5000 0.5000 0.0000  6 Hg 3.31
I 0.5000 0.5000 0.5000  6 Hg 3.31
I 0.6250 0.3750 0.2500  4 Hg 3.21
I 0.6250 0.7500 0.3750  4 Hg 3.21
I 0.7500 0.3750 0.6250  4 Hg 3.21
I 0.7500 0.8750 0.1250  4 Hg 3.21
I 0.8750 0.1250 0.7500  4 Hg 3.21
I 0.8750 0.2500 0.1250  4 Hg 3.21

---

Entry from the Alexandria database: crystalline Cd5Hg12I3 at its relaxed geometry (GGA-PBE).

## Properties
The formation energy (no corrections) is -0.26 eV per formula unit. For the density of states at the Fermi level, the calculation gives 13.67 states/eV/cell. The total energy comes out at -0.0482 Ry per atom.

Cell lengths 15.7362, 15.7362, 15.7362 Å; angles 109.47, 109.47, 109.47 degrees
Last column: nearest neighbours and their distance in Å.
Fractional positions:
Cd 0.0000 0.0000 0.0000  6 Hg 2.93
Cd 0.0000 0.0000 0.5000  6 Hg 2.93
Cd 0.0000 0.5000 0.0000  6 Hg 2.93
Cd 0.0000 0.5000 0.5000  6 Hg 2.93
Cd 0.1250 0.7500 0.8750  4 Hg 2.86
Cd 0.1250 0.8750 0.2500  4 Hg 2.86
Cd 0.2500 0.1250 0.8750  4 Hg 2.86
Cd 0.2500 0.6250 0.3750  4 Hg 2.86
Cd 0.3750 0.2500 0.6250  4 Hg 2.86
Cd 0.3750 0.6250 0.7500  4 Hg 2.86
Cd 0.5000 0.0000 0.0000  6 Hg 2.93
Cd 0.5000 0.0000 0.5000  6 Hg 2.93
Cd 0.5000 0.5000 0.0000  6 Hg 2.93
Cd 0.5000 0.5000 0.5000  6 Hg 2.93
Cd 0.6250 0.3750 0.2500  4 Hg 2.86
Cd 0.6250 0.7500 0.3750  4 Hg 2.86
Cd 0.7500 0.3750 0.6250  4 Hg 2.86
Cd 0.7500 0.8750 0.1250  4 Hg 2.86
Cd 0.8750 0.1250 0.7500  4 Hg 2.86
Cd 0.8750 0.2500 0.1250  4 Hg 2.86
Hg 0.0348 0.2106 0.1066  2 Cd 2.86-2.93
Hg 0.0348 0.3243 0.9283  2 Cd 2.86-2.93
Hg 0.0717 0.6066 0.3960  2 Cd 2.86-2.93
Hg 0.0717 0.9652 0.6757  2 Cd 2.86-2.93
Hg 0.1040 0.7106 0.6757  2 Cd 2.86-2.93
Hg 0.1040 0.8934 0.4283  2 Cd 2.86-2.93
Hg 0.1066 0.0348 0.2106  2 Cd 2.86-2.93
Hg 0.1066 0.5717 0.8960  2 Cd 2.86-2.93
Hg 0.1757 0.2106 0.6040  2 Cd 2.86-2.93
Hg 0.1757 0.4652 0.5717  2 Cd 2.86-2.93
Hg 0.2106 0.1066 0.0348  2 Cd 2.86-2.93
Hg 0.2106 0.6040 0.1757  2 Cd 2.86-2.93
Hg 0.2894 0.3243 0.8960  2 Cd 2.86-2.93
Hg 0.2894 0.4652 0.3934  2 Cd 2.86-2.93
Hg 0.3243 0.8960 0.2894  2 Cd 2.86-2.93
Hg 0.3243 0.9283 0.0348  2 Cd 2.86-2.93
Hg 0.3934 0.2894 0.4652  2 Cd 2.86-2.93
Hg 0.3934 0.6040 0.9283  2 Cd 2.86-2.93
Hg 0.3960 0.0717 0.6066  2 Cd 2.86-2.93
Hg 0.3960 0.8243 0.7894  2 Cd 2.86-2.93
Hg 0.4283 0.1040 0.8934  2 Cd 2.86-2.93
Hg 0.4283 0.8243 0.5348  2 Cd 2.86-2.93
Hg 0.4652 0.3934 0.2894  2 Cd 2.86-2.93
Hg 0.4652 0.5717 0.1757  2 Cd 2.86-2.93
Hg 0.5348 0.4283 0.8243  2 Cd 2.86-2.93
Hg 0.5348 0.6066 0.7106  2 Cd 2.86-2.93
Hg 0.5717 0.1757 0.4652  2 Cd 2.86-2.93
Hg 0.5717 0.8960 0.1066  2 Cd 2.86-2.93
Hg 0.6040 0.1757 0.2106  2 Cd 2.86-2.93
Hg 0.6040 0.9283 0.3934  2 Cd 2.86-2.93
Hg 0.6066 0.3960 0.0717  2 Cd 2.86-2.93
Hg 0.6066 0.7106 0.5348  2 Cd 2.86-2.93
Hg 0.6757 0.0717 0.9652  2 Cd 2.86-2.93
Hg 0.6757 0.1040 0.7106  2 Cd 2.86-2.93
Hg 0.7106 0.5348 0.6066  2 Cd 2.86-2.93
Hg 0.7106 0.6757 0.1040  2 Cd 2.86-2.93
Hg 0.7894 0.3960 0.8243  2 Cd 2.86-2.93
Hg 0.7894 0.8934 0.9652  2 Cd 2.86-2.93
Hg 0.8243 0.5348 0.4283  2 Cd 2.86-2.93
Hg 0.8243 0.7894 0.3960  2 Cd 2.86-2.93
Hg 0.8934 0.4283 0.1040  2 Cd 2.86-2.93
Hg 0.8934 0.9652 0.7894  2 Cd 2.86-2.93
Hg 0.8960 0.1066 0.5717  2 Cd 2.86-2.93
Hg 0.8960 0.2894 0.3243  2 Cd 2.86-2.93
Hg 0.9283 0.0348 0.3243  2 Cd 2.86-2.93
Hg 0.9283 0.3934 0.6040  2 Cd 2.86-2.93
Hg 0.9652 0.6757 0.0717  2 Cd 2.86-2.93
Hg 0.9652 0.7894 0.8934  2 Cd 2.86-2.93
I 0.1250 0.2500 0.3750  8 Hg 3.35-3.73
I 0.1250 0.3750 0.7500  8 Hg 3.35-3.73
I 0.2500 0.3750 0.1250  8 Hg 3.35-3.73
I 0.2500 0.8750 0.6250  8 Hg 3.35-3.73
I 0.3750 0.1250 0.2500  8 Hg 3.35-3.73
I 0.3750 0.7500 0.1250  8 Hg 3.35-3.73
I 0.6250 0.2500 0.8750  8 Hg 3.35-3.73
I 0.6250 0.8750 0.7500  8 Hg 3.35-3.73
I 0.7500 0.1250 0.3750  8 Hg 3.35-3.73
I 0.7500 0.6250 0.8750  8 Hg 3.35-3.73
I 0.8750 0.6250 0.2500  8 Hg 3.35-3.73
I 0.8750 0.7500 0.6250  8 Hg 3.35-3.73

---

- Which value of formation energy (no corrections) does entry 4 give?
  -0.26 eV per formula unit

---

- Which formula does entry 1 have?
  Cd5Hg3I12

---

- What is the formula in the first record?
  Cd5Hg3I12